(1)
Density functional theory data (PBE-GGA) for a relaxed Nb2GaMo8 crystal.

Summary:
The total magnetization comes out at 0.0 Bohr magnetons per cell. The value obtained for the formation energy is -0.046 eV per atom. The density of states at the Fermi level comes out at 0.7303 states/eV per atom. The volume comes out at 178.30 Å³ per cell.

Cell and atoms, written as POSCAR:
```
Nb2GaMo8
1.0
8.091 -1.603 0.000
8.091 1.603 0.000
-1.853 0.000 6.875
Nb Ga Mo
2 1 8
Cartesian
3.386 0.000 0.974
10.942 0.000 5.901
7.164 0.000 3.437
0.311 0.000 1.522
0.974 0.000 4.673
4.140 0.000 4.053
6.554 0.000 0.381
7.774 0.000 6.494
10.188 0.000 2.822
13.354 0.000 2.202
14.017 0.000 5.352
```

(2)
Density functional theory data (PBE-GGA) for a relaxed Nb2Ga2Mo crystal.

Summary:
The total magnetization comes out at 0.0 Bohr magnetons per cell. The value obtained for the formation energy is -0.122 eV per atom. The density of states at the Fermi level comes out at 0.5430 states/eV per atom. The volume comes out at 168.21 Å³ per cell.

Cell and atoms, written as POSCAR:
```
Nb2Ga2Mo
1.0
1.767 -8.452 0.000
1.767 8.452 0.000
0.000 0.000 5.630
Nb Ga Mo
4 4 2
Cartesian
1.767 8.412 2.815
1.767 4.966 0.078
1.767 -4.966 2.893
1.767 -8.412 0.000
1.767 5.470 2.856
1.767 1.701 1.478
1.767 -1.701 4.293
1.767 -5.470 0.041
1.767 1.715 4.209
1.767 -1.715 1.394
```